1.
# PBE CaEu3S, optimized geometry
# **Fermi-level density of states**: 1.0379 states/eV per atom
# **Raw formation energy**: -0.74 eV/atom
# **Magnetization**: 22.8 μB/f.u.
# **Total energy**: -40.7 eV/cell
data_CaEu3S
_space_group_name_H-M_alt 'P m -3 m'
_space_group_IT_number 221
_space_group_name_Hall '-P 4 2 3'
_cell_length_a 5.743
_cell_length_b 5.743
_cell_length_c 5.743
_cell_angle_alpha 90.00
_cell_angle_beta 90.00
_cell_angle_gamma 90.00
loop_
_atom_site_label
_atom_site_fract_x
_atom_site_fract_y
_atom_site_fract_z
Ca1 0.000 0.000 0.000
Eu1 0.000 0.500 0.500
S1 0.500 0.500 0.500

2.
# PBE CaEuS, optimized geometry
# **Fermi-level density of states**: 0.4167 states/eV per atom
# **Raw formation energy**: -1.32 eV/atom
# **Magnetization**: 7.5 μB/f.u.
# **Total energy**: -20.4 eV/cell
data_CaEuS
_space_group_name_H-M_alt 'P 3 m 1'
_space_group_IT_number 156
_cell_length_a 4.0208
_cell_length_b 4.0208
_cell_length_c 6.8267
_cell_angle_alpha 90.00
_cell_angle_beta 90.00
_cell_angle_gamma 120.00
loop_
_space_group_symop_operation_xyz
'x,y,z'
'-y,x-y,z'
'-x+y,-x,z'
'-y,-x,z'
'-x+y,y,z'
'x,x-y,z'
loop_
_atom_site_label
_atom_site_fract_x
_atom_site_fract_y
_atom_site_fract_z
Ca1 0.0000 0.0000 0.0000
Eu1 0.6667 0.3333 0.5038
S1 0.3333 0.6667 0.7626